(1)
A plane-wave DFT calculation with PBE was carried out for Tb4Er3Mg2 after structural relaxation.

Computed properties:
Formation energy from the elements, meV/atom: 8
Crystal system: monoclinic

abc: 7.791 7.791 7.756
angles: 107.65 107.65 36.86
Atoms (fractional coordinates):
Tb 0.055 0.055 0.333
Tb 0.278 0.278 0.670
Tb 0.722 0.722 0.330
Tb 0.945 0.945 0.667
Er 0.389 0.389 0.333
Er 0.500 0.500 0.000
Er 0.611 0.611 0.667
Mg 0.169 0.169 0.999
Mg 0.831 0.831 0.001

(2)
A plane-wave DFT calculation with PBE was carried out for TaReAg after structural relaxation.

Computed properties:
Formation energy from the elements, meV/atom: 286
Crystal system: orthorhombic

abc: 7.291 7.129 2.771
angles: 82.23 75.65 22.12
Atoms (fractional coordinates):
Ta 0.000 0.000 0.000
Re 0.346 0.346 0.654
Ag 0.674 0.674 0.326

(3)
A plane-wave DFT calculation with PBE was carried out for Ba2NpN4 after structural relaxation.

Computed properties:
Formation energy from raw total energies, eV per atom: -0.79
Crystal system: tetragonal

abc: 7.458 7.458 7.458
angles: 145.73 145.73 49.24
Atoms (fractional coordinates):
Ba 0.144 0.144 0.000
Ba 0.856 0.856 0.000
Np 0.500 0.500 0.000
N 0.000 0.500 0.500
N 0.356 0.356 0.000
N 0.500 0.000 0.500
N 0.644 0.644 0.000

(4)
A plane-wave DFT calculation with PBE was carried out for SrLaCu2Bi after structural relaxation.

Computed properties:
Formation energy from the elements, meV/atom: 494
Crystal system: tetragonal

abc: 5.153 5.153 6.100
angles: 90.00 90.00 90.00
Atoms (fractional coordinates):
Sr 0.000 0.000 0.000
La 0.500 0.500 0.000
Cu 0.000 0.500 0.500
Cu 0.500 0.000 0.500
Bi 0.000 0.000 0.500

(5)
A plane-wave DFT calculation with PBE was carried out for HoHf2Tl after structural relaxation.

Computed properties:
Formation energy from the elements, meV/atom: 397
Crystal system: trigonal

abc: 11.728 11.728 11.728
angles: 15.52 15.52 15.52
Atoms (fractional coordinates):
Ho 0.000 0.000 0.000
Hf 0.091 0.091 0.091
Hf 0.909 0.909 0.909
Tl 0.500 0.500 0.500

(6)
A plane-wave DFT calculation with PBE was carried out for Sr5Al after structural relaxation.

Computed properties:
Formation energy from the elements, meV/atom: 104
Crystal system: hexagonal

abc: 7.029 7.029 6.281
angles: 90.00 90.00 120.00
Atoms (fractional coordinates):
Sr 0.000 0.694 0.000
Sr 0.306 0.306 0.000
Sr 0.333 0.667 0.500
Sr 0.667 0.333 0.500
Sr 0.694 0.000 0.000
Al 0.000 0.000 0.500

(7)
A plane-wave DFT calculation with PBE was carried out for PrEuPd2 after structural relaxation.

Computed properties:
Formation energy from the elements, meV/atom: -709
Crystal system: tetragonal

abc: 3.650 3.650 7.286
angles: 90.00 90.00 90.00
Atoms (fractional coordinates):
Pr 0.000 0.000 0.000
Eu 0.000 0.000 0.500
Pd 0.500 0.500 0.234
Pd 0.500 0.500 0.766

(8)
A plane-wave DFT calculation with PBE was carried out for Pr2DyV after structural relaxation.

Computed properties:
Formation energy from the elements, meV/atom: 640
Crystal system: trigonal

abc: 11.902 11.902 11.902
angles: 16.72 16.72 16.72
Atoms (fractional coordinates):
Pr 0.081 0.081 0.081
Pr 0.919 0.919 0.919
Dy 0.500 0.500 0.500
V 0.000 0.000 0.000